Entry 1:
The following is a PBE calculation of a relaxed structure of Ce6Si2Te3Se, from Alexandria via LeMat-Bulk.

```
12
Lattice="-0.6701 0.0768 4.2644 -1.0486 -8.7114 -0.0079 9.6787 1.2846 -0.6878" Properties=species:S:1:pos:R:3 pbc="T T T"
Ce 5.3537 -6.9421 0.9663
Ce 2.3024 -4.4482 2.6274
Ce 2.6063 -0.4079 2.6024
Ce -0.1128 -2.0747 0.0196
Ce 8.0729 -5.2753 3.5490
Ce 5.6576 -2.9018 0.9412
Si 5.2020 -4.9011 3.0912
Si 2.7580 -2.4489 0.4775
Te -0.8593 -4.3173 2.1282
Te 5.7425 -0.5324 3.0974
Te 2.2175 -6.8176 0.4712
Se -0.3350 0.0384 2.1322
```

Calculated values
- E_form (uncorrected) (eV/atom) = -1.2065
- magnetization (μB per formula unit) = 5.318
- E_tot (eV/atom) = -6.15
- SG = C2/m (12)
- density (Mg/m³) = 6.45


Entry 2:
The following is a PBE calculation of a relaxed structure of Ce4SiTe2Se, from Alexandria via LeMat-Bulk.

```
8
Lattice="-0.0474 2.9400 3.1593 -6.2659 3.1783 -3.0518 -6.0426 -3.2436 2.9278" Properties=species:S:1:pos:R:3 pbc="T T T"
Ce -9.0949 -0.1377 -0.0083
Ce -3.2611 3.0125 3.0436
Ce -6.1483 2.9148 0.1432
Ce -6.2076 -0.0400 2.8921
Si -6.1543 -0.0327 -0.0619
Te -6.0426 -3.2436 2.9278
Te -3.0450 -0.1518 3.0435
Se -9.1993 -0.1844 2.9815
```

Calculated values
- E_form (uncorrected) (eV/atom) = -1.3120
- magnetization (μB per formula unit) = 3.783
- E_tot (eV/atom) = -6.18
- SG = P2/m (10)
- density (Mg/m³) = 6.57


Entry 3:
The following is a PBE calculation of a relaxed structure of Ce8Si3Te4Se, from Alexandria via LeMat-Bulk.

```
16
Lattice="8.6302 0.0000 0.0000 0.0000 8.7816 0.1005 -4.3151 -4.3111 6.1049" Properties=species:S:1:pos:R:3 pbc="T T T"
Ce -2.1269 2.1325 6.0580
Ce 0.0000 4.2577 3.0482
Ce 0.0000 0.1997 3.1900
Ce 2.1269 2.1325 6.0580
Ce 2.1882 2.3380 0.1474
Ce 4.3151 4.2708 3.0154
Ce 4.3151 0.2128 3.1571
Ce 6.4420 2.3380 0.1474
Si 4.3151 4.3908 0.0503
Si 2.1575 2.2353 3.1027
Si -2.1575 2.2353 3.1027
Te 4.3151 0.0000 0.0000
Te 2.1575 -2.1555 3.0524
Te 0.0000 0.0000 0.0000
Te -2.1575 -2.1555 3.0524
Se 0.0000 4.3908 0.0503
```

Calculated values
- E_form (uncorrected) (eV/atom) = -1.1583
- magnetization (μB per formula unit) = 7.003
- E_tot (eV/atom) = -6.15
- SG = R-3m (166)
- density (Mg/m³) = 6.39


Entry 4:
The following is a PBE calculation of a relaxed structure of Ce3SmSe6, from Alexandria via LeMat-Bulk.

```
20
Lattice="7.0796 0.0000 -0.0448 0.0000 7.8237 0.0000 0.0202 0.0000 10.6568" Properties=species:S:1:pos:R:3 pbc="T T T"
Ce 3.8612 7.0219 7.9694
Ce 3.5398 3.9118 -0.0224
Ce 3.2386 0.8018 2.6426
Ce 0.3113 4.7136 2.6634
Ce 0.0101 0.0000 5.3284
Ce 6.7885 3.1100 7.9486
Sm 3.5499 3.9118 5.3060
Sm 0.0000 0.0000 0.0000
Se 4.7751 1.4283 9.7671
Se 4.7637 1.4325 6.1551
Se 4.6805 3.4099 2.6462
Se 2.4193 4.4138 7.9658
Se 2.3362 6.3912 4.4569
Se 2.3247 6.3954 0.8449
Se 1.2252 2.4836 4.4611
Se 1.2137 2.4794 0.8491
Se 1.1508 0.5019 7.9970
Se 5.9490 7.3218 2.6150
Se 5.8861 5.3443 9.7629
Se 5.8747 5.3401 6.1509
```

Calculated values
- E_form (uncorrected) (eV/atom) = -1.7661
- magnetization (μB per formula unit) = 3.003
- E_tot (eV/atom) = -6.11
- SG = P2_1/c (14)
- density (Mg/m³) = 5.88


Entry 5:
The following is a PBE calculation of a relaxed structure of Ce2Sm3Se8, from Alexandria via LeMat-Bulk.

```
13
Lattice="7.0653 0.0000 0.1673 0.0000 8.3481 0.0000 -2.6603 -4.1740 6.9549" Properties=species:S:1:pos:R:3 pbc="T T T"
Ce 0.9717 0.0000 3.6738
Ce 3.4334 4.1740 3.4484
Sm 3.5327 0.0000 0.0836
Sm 0.0000 2.1775 0.0000
Sm 0.0000 6.1706 0.0000
Se 5.6614 4.1740 1.6878
Se -1.2564 0.0000 5.4344
Se 5.9128 0.0000 1.8052
Se -1.5077 4.1740 5.3170
Se 2.1454 2.2309 5.2942
Se 2.1454 -2.2309 5.2942
Se 2.2596 6.4050 1.8280
Se 2.2596 1.9431 1.8280
```

Calculated values
- E_form (uncorrected) (eV/atom) = -1.7433
- magnetization (μB per formula unit) = 1.030
- E_tot (eV/atom) = -5.89
- SG = C2/m (12)
- density (Mg/m³) = 5.47


Entry 6:
The following is a PBE calculation of a relaxed structure of CeSmSe3, from Alexandria via LeMat-Bulk.

```
20
Lattice="-2.1745 2.9784 1.9742 -5.3655 -5.2898 2.0706 8.2172 -3.0129 13.5961" Properties=species:S:1:pos:R:3 pbc="T T T"
Ce 0.2656 -4.7351 14.0828
Ce 0.4116 -0.5893 3.5581
Ce 2.2048 -1.8175 11.8172
Ce -1.5276 -3.5069 5.8237
Sm 5.8913 -3.5449 14.0524
Sm -0.1894 -4.9439 9.4654
Sm 0.8666 -0.3805 8.1754
Sm -5.2141 -1.7795 3.5885
Se 2.0948 -2.9579 8.9853
Se -4.3831 -2.9196 6.2238
Se 3.0567 -3.0608 14.6312
Se -1.9628 -4.8489 11.8001
Se -1.4176 -2.3665 8.6556
Se 2.6401 -0.4755 5.8408
Se 2.4167 -6.7045 14.9920
Se -1.1997 -0.4583 6.0168
Se 1.8769 -4.8661 11.6241
Se 5.0603 -2.4048 11.4171
Se -1.7395 1.3801 2.6489
Se -2.3795 -2.2636 3.0097
```

Calculated values
- E_form (uncorrected) (eV/atom) = -1.8662
- magnetization (μB per formula unit) = 0.951
- E_tot (eV/atom) = -6.09
- SG = Pnma (62)
- density (Mg/m³) = 6.63